Compound: Na12LiCd7
Source: the Alexandria database
Functional: GGA-PBE
Structure: relaxed

abc: 10.8845 10.8845 10.8845
angles: 116.62 116.62 116.62
Last column: nearest neighbours and their distance in Å.
Fractional positions:
Na  0.0006  0.6619  0.9748  3 Cd 3.17-3.19
Na  0.0252  0.9994  0.3381  3 Cd 3.17-3.19
Na  0.0825  0.6328  0.4592  3 Cd 3.19-3.45, 4 Na 3.34-3.57
Na  0.3381  0.0252  0.9994  3 Cd 3.17-3.19
Na  0.3672  0.5408  0.9175  3 Cd 3.19-3.45, 4 Na 3.34-3.57
Na  0.4592  0.0825  0.6328  3 Cd 3.19-3.45, 4 Na 3.34-3.57
Na  0.5408  0.9175  0.3672  3 Cd 3.19-3.45, 4 Na 3.34-3.57
Na  0.6328  0.4592  0.0825  3 Cd 3.19-3.45, 4 Na 3.34-3.57
Na  0.6619  0.9748  0.0006  3 Cd 3.17-3.19
Na  0.9175  0.3672  0.5408  3 Cd 3.19-3.45, 4 Na 3.34-3.57
Na  0.9748  0.0006  0.6619  3 Cd 3.17-3.19
Na  0.9994  0.3381  0.0252  3 Cd 3.17-3.19
Li  0.5000  0.5000  0.5000  8 Cd 2.80-3.04
Cd  0.0000  0.0000  0.0000  2 Li 3.04
Cd  0.2142  0.4295  0.4926  1 Li 2.80, 2 Cd 3.08
Cd  0.4295  0.4926  0.2142  1 Li 2.80, 2 Cd 3.08
Cd  0.4926  0.2142  0.4295  1 Li 2.80, 2 Cd 3.08
Cd  0.5074  0.7858  0.5705  1 Li 2.80, 2 Cd 3.08
Cd  0.5705  0.5074  0.7858  1 Li 2.80, 2 Cd 3.08
Cd  0.7858  0.5705  0.5074  1 Li 2.80, 2 Cd 3.08

The calculation puts the density of states at the Fermi level at 0.43 states/eV per atom. The energy relative to the lowest polymorph listed for this composition is 0.40 eV/f.u. The total energy comes out at -1.24 eV per atom. The energy of formation from the pure elements comes out at -0.0363 eV per atom.